The following is a PBE-GGA calculation of a relaxed structure of BaBeSb2, from Alexandria via LeMat-Bulk.

Calculated values
- formation energy without anion corrections (eV/atom) = -0.1710
- VASP energy (eV per atom) = -3.64

Lattice parameters (Å, degrees): 5.3367 5.3367 6.6524 115.37 115.37 45.07
Positions (direct):
Ba  0.0000  0.0000  0.0000
Be  0.5000  0.5000  0.5000
Sb  0.1820  0.1820  0.6201
Sb  0.8180  0.8180  0.3799


The following is a PBE-GGA calculation of a relaxed structure of BaBeSb2, from Alexandria via LeMat-Bulk.

Calculated values
- formation energy without anion corrections (eV/atom) = 0.0530
- VASP energy (eV per atom) = -3.42

Lattice parameters (Å, degrees): 3.8469 3.8469 7.3232 90.00 90.00 90.00
Positions (direct):
Ba  0.0000  0.0000  0.0000
Be  0.0000  0.0000  0.5000
Sb  0.5000  0.5000  0.3114
Sb  0.5000  0.5000  0.6886


The following is a PBE-GGA calculation of a relaxed structure of BaBeSb2, from Alexandria via LeMat-Bulk.

Calculated values
- formation energy without anion corrections (eV/atom) = -0.1901
- VASP energy (eV per atom) = -3.66

Lattice parameters (Å, degrees): 6.1166 6.1166 5.7875 106.47 106.47 38.07
Positions (direct):
Ba  0.0000  0.0000  0.0000
Be  0.1908  0.1908  0.5393
Sb  0.5480  0.5480  0.5325
Sb  0.7870  0.7870  0.4020


The following is a PBE-GGA calculation of a relaxed structure of BaBeSb2, from Alexandria via LeMat-Bulk.

Calculated values
- formation energy without anion corrections (eV/atom) = -0.2171
- VASP energy (eV per atom) = -3.69

Lattice parameters (Å, degrees): 4.9185 4.9794 5.2859 90.00 90.22 90.00
Positions (direct):
Ba  0.0000  0.0000  0.0000
Be  0.5837  0.5000  0.4081
Sb  0.0717  0.5000  0.5033
Sb  0.4940  0.0000  0.4999


N(E_F), record by record: 1.90 2.39 1.09 0.74 states/eV per cell
Theoretical density, record by record: 5.4 6.0 5.1 5.0 g cm⁻³